Entry from the Alexandria database: a relaxed structure of KBaPb2Au (PBE).

Geometry as POSCAR:
```
KBaPb2Au
1.0
5.8510 0.0000 0.0000
0.0000 6.0080 0.0000
0.0000 0.0000 5.8510
Pb Au K Ba
2 1 1 1
Cartesian
2.9255 0.0000 0.0000 Pb
0.0000 0.0000 2.9255 Pb
0.0000 0.0000 0.0000 Au
2.9255 3.0040 2.9255 K
0.0000 3.0040 0.0000 Ba
```

Results
Crystal system: tetragonal

Entry from the Alexandria database: a relaxed structure of KBaPbAu2 (PBE).

Geometry as POSCAR:
```
KBaPbAu2
1.0
5.8896 0.0000 0.0000
0.0000 6.9297 0.0000
0.0000 0.0000 5.8896
K Au Ba Pb
1 2 1 1
Cartesian
0.0000 3.4649 0.0000 K
0.0000 0.0000 2.9448 Au
2.9448 0.0000 0.0000 Au
0.0000 0.0000 0.0000 Ba
2.9448 3.4649 2.9448 Pb
```

Results
Energy above the lowest structure with this stoichiometry (meV per atom): 198.0
Crystal system: tetragonal

Entry from the Alexandria database: a relaxed structure of KBaPdAu (PBE).

Geometry as POSCAR:
```
KBaPdAu
1.0
5.5600 0.0000 0.0000
2.7800 4.8151 0.0000
2.7800 1.6050 4.5397
Ba Pd K Au
1 1 1 1
Cartesian
8.3399 4.8151 3.4048 Ba
5.5600 3.2100 2.2698 Pd
2.7800 1.6050 1.1349 K
0.0000 0.0000 0.0000 Au
```

Results
Crystal system: cubic

The E results, record by record, are as follows: -2.855, -2.204, -3.205 eV per atom.
The energy of formation results, record by record, are as follows: -0.113, 0.452, -0.333 eV per atom.
The magnetization results, record by record, are as follows: 0.0000, 0.0000, 0.0000 μB/atom.